1.
12
Lattice="5.245 0.008 -1.134 -1.170 7.052 -5.075 -0.208 -1.760 11.035" Properties=species:S:1:pos:R:3 comment="NaSn3Sb2 PBE relaxed" volume_a3_per_atom=29.787 raw_formation_energy_mev_per_atom=-80 sg="P-1 (2)" energy_ev_per_cell=-44.1 pbc="T T T"
Sb 3.758 0.746 4.342
Sb 0.109 4.553 0.484
Sn 0.047 1.585 0.306
Sn 3.821 3.715 4.520
Sb 2.092 -0.261 9.102
Na 0.688 -0.353 3.044
Sn 0.808 3.616 3.311
Sn 2.420 4.496 -1.500
Na 3.179 5.653 1.783
Sn 1.447 0.803 6.326
Sb 1.775 5.561 -4.276
Sn 3.059 1.684 1.516

2.
5
Lattice="4.982 0.000 0.000 0.000 4.982 0.000 0.000 0.000 4.982" Properties=species:S:1:pos:R:3 comment="YSc3S PBE relaxed" volume_a3_per_atom=24.731 raw_formation_energy_mev_per_atom=-617 de_polymorph_ev_per_atom=0.0000 sg="Pm-3m (221)" energy_ev_per_cell=-32.7 pbc="T T T"
Y 2.491 2.491 2.491
Sc 2.491 0.000 0.000
Sc 0.000 0.000 2.491
S 0.000 0.000 0.000
Sc 0.000 2.491 0.000

3.
4
Lattice="2.997 0.000 0.000 0.000 4.341 0.000 0.000 0.000 4.341" Properties=species:S:1:pos:R:3 comment="CrRe2As PBE relaxed" volume_a3_per_atom=14.124 sg="P4/mmm (123)" e_form_kj_per_mol_atoms=26 energy_ev_per_cell=-38.1 pbc="T T T"
Re 0.000 2.171 2.171
As 1.499 2.171 0.000
Re 0.000 0.000 0.000
Cr 1.499 0.000 2.171

no.,spin magnetization (μB/cell),DOS at the Fermi energy (states/eV per atom)
1,0.0,0.348
2,1.8,1.684
3,1.3,0.827